Entry 1:
# RbZr2ReSb | Alexandria via LeMat-Bulk | PBE | relaxed
# energy relative to the elements, uncorrected	2354	meV/atom
data_RbZr2ReSb
_cell_length_a 5.020
_cell_length_b 5.020
_cell_length_c 4.783
_cell_angle_alpha 90.00
_cell_angle_beta 90.00
_cell_angle_gamma 90.00
_symmetry_space_group_name_H-M 'P 4/m m m'
_symmetry_Int_Tables_number 123
_symmetry_space_group_name_Hall '-P 4 2'
loop_
_atom_site_label
_atom_site_type_symbol
_atom_site_fract_x
_atom_site_fract_y
_atom_site_fract_z
_atom_site_occupancy
Rb1 Rb 0.000 0.000 0.000 1
Zr1 Zr 0.000 0.500 0.000 1
Re1 Re 0.000 0.000 0.500 1
Sb1 Sb 0.500 0.500 0.500 1

***

Entry 2:
# Ca2Ga4Cu3Rh | Alexandria via LeMat-Bulk | PBE | relaxed
# energy of formation	-0.410	eV per atom
data_Ca2Ga4Cu3Rh
_cell_length_a 4.103
_cell_length_b 4.103
_cell_length_c 10.661
_cell_angle_alpha 90.00
_cell_angle_beta 90.00
_cell_angle_gamma 90.00
_symmetry_space_group_name_H-M 'P -4 m 2'
_symmetry_Int_Tables_number 115
_symmetry_space_group_name_Hall 'P -4 -2'
loop_
_atom_site_label
_atom_site_type_symbol
_atom_site_fract_x
_atom_site_fract_y
_atom_site_fract_z
_atom_site_occupancy
Ca1 Ca 0.000 0.500 0.244 1
Ga1 Ga 0.000 0.000 0.000 1
Ga2 Ga 0.000 0.500 0.633 1
Ga3 Ga 0.500 0.500 0.000 1
Cu1 Cu 0.000 0.500 0.864 1
Cu2 Cu 0.500 0.500 0.500 1
Rh1 Rh 0.000 0.000 0.500 1

***

Entry 3:
# LaAl2Ag5 | Alexandria via LeMat-Bulk | PBE | relaxed
# energy of formation	-0.182	eV per atom
data_LaAl2Ag5
_cell_length_a 4.199
_cell_length_b 7.607
_cell_length_c 10.312
_cell_angle_alpha 90.00
_cell_angle_beta 90.00
_cell_angle_gamma 90.00
_symmetry_space_group_name_H-M 'I m m m'
_symmetry_Int_Tables_number 71
_symmetry_space_group_name_Hall '-I 2 2'
loop_
_atom_site_label
_atom_site_type_symbol
_atom_site_fract_x
_atom_site_fract_y
_atom_site_fract_z
_atom_site_occupancy
La1 La 0.000 0.000 0.000 1
Al1 Al 0.000 0.500 0.253 1
Ag1 Ag 0.000 0.189 0.355 1
Ag2 Ag 0.000 0.500 0.000 1

***

Entry 4:
# Pr6Sm10Th | Alexandria via LeMat-Bulk | PBE | relaxed
# energy of formation	0.143	eV per atom
data_Pr6Sm10Th
_cell_length_a 9.8715
_cell_length_b 9.8715
_cell_length_c 7.0720
_cell_angle_alpha 90.00
_cell_angle_beta 90.00
_cell_angle_gamma 120.00
_symmetry_space_group_name_H-M 'P -3 1 m'
_symmetry_Int_Tables_number 162
_symmetry_space_group_name_Hall '-P 3 2'
loop_
_atom_site_label
_atom_site_type_symbol
_atom_site_fract_x
_atom_site_fract_y
_atom_site_fract_z
_atom_site_occupancy
Pr1 Pr 0.0000 0.3753 0.1993 1
Sm1 Sm 0.0000 0.2708 0.6842 1
Sm2 Sm 0.3333 0.6667 0.0000 1
Sm3 Sm 0.3333 0.6667 0.5000 1
Th1 Th 0.0000 0.0000 0.0000 1

***

no.,energy (eV per atom)
1,-4.5728
2,-3.9846
3,-3.5156
4,-4.7559